[1]
VASP calculation (PBE-GGA) on a relaxed structure of Pm7Ge4N.

E_form (uncorrected): -8.23 eV/f.u.
crystal system: monoclinic
DFT total energy: -5.690 eV per atom

a b c (Å): 4.9758 9.0901 8.1473
angles (deg): 77.42 72.22 74.12
With the nearest neighbours (Å) after each atom.
Sites, in units of the cell vectors:
1 Pm 0.0690 0.7480 0.1140  1 N 2.25
2 Pm 0.6382 0.4624 0.2612  5 Ge 3.03-3.25
3 Ge 0.2769 0.3431 0.1031  7 Pm 2.88-3.22
4 Ge 0.7231 0.6569 0.8969  7 Pm 2.88-3.22
5 Ge 0.4194 0.7818 0.3795  8 Pm 3.00-3.27
6 N 0.0000 0.0000 0.0000  4 Pm 2.25-2.49
7 Pm 0.3618 0.5376 0.7388  5 Ge 3.03-3.25
8 Pm 0.9310 0.2520 0.8860  1 N 2.25
9 Ge 0.5806 0.2182 0.6205  8 Pm 3.00-3.27
10 Pm 0.5000 0.0000 0.0000  2 N 2.49
11 Pm 0.7879 0.8574 0.5669  3 Ge 2.88-3.00
12 Pm 0.2121 0.1426 0.4331  3 Ge 2.88-3.00

---

[2]
VASP calculation (PBE-GGA) on a relaxed structure of BaNaInSb2.

E_form (uncorrected): -2.77 eV/f.u.
crystal system: monoclinic
DFT total energy: -3.398 eV per atom

a b c (Å): 4.8680 8.6941 9.5994
angles (deg): 79.94 75.31 73.74
With the nearest neighbours (Å) after each atom.
Sites, in units of the cell vectors:
1 Ba 0.7853 0.7856 0.6438  5 Sb 3.48-3.53
2 Ba 0.2147 0.2144 0.3562  5 Sb 3.48-3.53
3 Sb 0.5794 0.2089 0.6323  2 In 2.99, 1 Na 3.08
4 Sb 0.8382 0.2371 0.0864  2 In 2.93, 3 Na 3.11-3.18
5 In 0.0439 0.1060 0.8062  4 Sb 2.93-2.99
6 Na 0.3545 0.3826 0.9084  4 Sb 3.08-3.18
7 Sb 0.4206 0.7911 0.3677  2 In 2.99, 1 Na 3.08
8 Na 0.6455 0.6174 0.0916  4 Sb 3.08-3.18
9 In 0.9561 0.8940 0.1938  4 Sb 2.93-2.99
10 Sb 0.1618 0.7629 0.9136  2 In 2.93, 3 Na 3.11-3.18

---

[3]
VASP calculation (PBE-GGA) on a relaxed structure of CaAcSiPb.

E_form (uncorrected): -1.28 eV/f.u.
crystal system: cubic
DFT total energy: -4.129 eV per atom

a b c (Å): 5.5305 5.5305 5.5305
angles (deg): 60.00 60.00 60.00
With the nearest neighbours (Å) after each atom.
Sites, in units of the cell vectors:
1 Pb 0.2500 0.2500 0.2500  4 Ca 3.39, 4 Ac 3.39
2 Ac 0.0000 0.0000 0.0000  4 Si 3.39, 4 Pb 3.39
3 Si 0.7500 0.7500 0.7500  4 Ac 3.39, 4 Ca 3.39
4 Ca 0.5000 0.5000 0.5000  4 Si 3.39, 4 Pb 3.39

---

[4]
VASP calculation (PBE-GGA) on a relaxed structure of BeZn2Ag.

crystal system: tetragonal
DFT formation energy: 0.354 eV/atom
DFT total energy: -1.928 eV per atom

a b c (Å): 7.0941 7.0941 5.5870
angles (deg): 50.59 50.59 90.00
With the nearest neighbours (Å) after each atom.
Sites, in units of the cell vectors:
1 Zn 0.1716 0.6250 0.2500  2 Be 2.37, 2 Zn 2.55
2 Be 0.2500 0.7500 0.5000  4 Zn 2.37, 2 Ag 2.46
3 Zn 0.8750 0.8284 0.7500  2 Be 2.37, 2 Zn 2.55
4 Ag 0.7500 0.2500 0.5000  2 Be 2.46
5 Be 0.5000 0.5000 0.0000  4 Zn 2.37, 2 Ag 2.46
6 Zn 0.5784 0.1250 0.2500  2 Be 2.37, 2 Zn 2.55
7 Zn 0.3750 0.4216 0.7500  2 Be 2.37, 2 Zn 2.55
8 Ag 0.0000 0.0000 0.0000  2 Be 2.46

---

[5]
VASP calculation (PBE-GGA) on a relaxed structure of Zn3HgBi.

crystal system: cubic
DFT formation energy: 0.460 eV/atom
DFT total energy: -1.141 eV per atom

a b c (Å): 5.6225 5.6225 5.6225
angles (deg): 90.00 90.00 90.00
With the nearest neighbours (Å) after each atom.
Sites, in units of the cell vectors:
1 Zn 0.0000 0.5000 0.0000  2 Bi 2.81
2 Zn 0.0000 0.0000 0.5000  2 Bi 2.81
3 Hg 0.5000 0.5000 0.5000  12 Zn 3.98
4 Bi 0.0000 0.0000 0.0000  6 Zn 2.81
5 Zn 0.5000 0.0000 0.0000  2 Bi 2.81

---

[6]
VASP calculation (PBE-GGA) on a relaxed structure of Na3Zn2Te4.

E above lowest polymorph: 0 meV per atom
E_form (uncorrected): -5.49 eV/f.u.
crystal system: monoclinic
DFT total energy: -2.729 eV per atom

a b c (Å): 4.0179 8.1937 11.7588
angles (deg): 128.85 90.00 104.19
With the nearest neighbours (Å) after each atom.
Sites, in units of the cell vectors:
1 Na 0.6125 0.2250 0.7879  5 Te 3.16-3.27
2 Zn 0.7033 0.4066 0.3478  4 Te 2.60-2.72
3 Zn 0.2967 0.5934 0.6522  4 Te 2.60-2.72
4 Na 0.0000 0.0000 0.0000  6 Te 3.21-3.54
5 Te 0.9008 0.8017 0.6302  3 Zn 2.72
6 Te 0.2998 0.5997 0.8763  1 Zn 2.60
7 Te 0.0992 0.1983 0.3698  3 Zn 2.72
8 Na 0.3875 0.7750 0.2121  5 Te 3.16-3.27
9 Te 0.7002 0.4003 0.1237  1 Zn 2.60

---

[7]
VASP calculation (PBE-GGA) on a relaxed structure of Co2PbW.

crystal system: orthorhombic
DFT formation energy: 0.619 eV/atom
DFT total energy: -7.099 eV per atom

a b c (Å): 4.5620 6.5141 2.9284
angles (deg): 63.35 89.96 124.75
With the nearest neighbours (Å) after each atom.
Sites, in units of the cell vectors:
1 Pb 0.5000 0.5000 0.0000  8 Co 2.71, 2 W 2.91, 2 Pb 2.93
2 W 0.5000 0.0000 0.5000  8 Co 2.71, 2 Pb 2.91, 2 W 2.93
3 Co 0.0000 0.0000 0.0000  4 W 2.71, 4 Pb 2.71, 4 Co 2.91-2.93
4 Co 0.0000 0.5000 0.5000  4 Pb 2.71, 4 W 2.71, 4 Co 2.91-2.93

---

[8]
VASP calculation (PBE-GGA) on a relaxed structure of TmMg2Co.

crystal system: monoclinic
DFT formation energy: -0.122 eV/atom
DFT total energy: -3.814 eV per atom

a b c (Å): 5.1882 5.3456 7.0997
angles (deg): 67.89 80.81 64.89
With the nearest neighbours (Å) after each atom.
Sites, in units of the cell vectors:
1 Co 0.2500 0.7490 0.5020  4 Mg 2.63-2.66, 4 Tm 2.76-2.82, 2 Co 2.83
2 Mg 0.0893 0.2256 0.1761  2 Co 2.63-2.66, 1 Mg 2.94
3 Mg 0.4107 0.5983 0.1761  2 Co 2.63-2.66, 1 Mg 2.94
4 Co 0.7500 0.2510 0.4980  4 Mg 2.63-2.66, 4 Tm 2.76-2.82, 2 Co 2.83
5 Tm 0.2500 0.1799 0.6401  4 Co 2.76-2.82
6 Mg 0.9107 0.7744 0.8239  2 Co 2.63-2.66, 1 Mg 2.94
7 Tm 0.7500 0.8201 0.3599  4 Co 2.76-2.82
8 Mg 0.5893 0.4017 0.8239  2 Co 2.63-2.66, 1 Mg 2.94

---

DFT total energy of number 5 (Zn3HgBi)?
-1.141 eV per atom

---

Look up the DFT total energy of the seventh one.
-7.099 eV per atom

---

Which value of DFT total energy does entry 2 give?
-3.398 eV per atom

---

Repeat the eighth record exactly.
VASP calculation (PBE-GGA) on a relaxed structure of TmMg2Co.

crystal system: monoclinic
DFT formation energy: -0.122 eV/atom
DFT total energy: -3.814 eV per atom

a b c (Å): 5.1882 5.3456 7.0997
angles (deg): 67.89 80.81 64.89
With the nearest neighbours (Å) after each atom.
Sites, in units of the cell vectors:
1 Co 0.2500 0.7490 0.5020  4 Mg 2.63-2.66, 4 Tm 2.76-2.82, 2 Co 2.83
2 Mg 0.0893 0.2256 0.1761  2 Co 2.63-2.66, 1 Mg 2.94
3 Mg 0.4107 0.5983 0.1761  2 Co 2.63-2.66, 1 Mg 2.94
4 Co 0.7500 0.2510 0.4980  4 Mg 2.63-2.66, 4 Tm 2.76-2.82, 2 Co 2.83
5 Tm 0.2500 0.1799 0.6401  4 Co 2.76-2.82
6 Mg 0.9107 0.7744 0.8239  2 Co 2.63-2.66, 1 Mg 2.94
7 Tm 0.7500 0.8201 0.3599  4 Co 2.76-2.82
8 Mg 0.5893 0.4017 0.8239  2 Co 2.63-2.66, 1 Mg 2.94